No. 1
CaDy3Se4: optimized geometry, PBE-GGA.

For the distance to the lowest polymorph of the same formula, the calculation gives 0.000 eV/atom. As for the crystal system: tetragonal. The uncorrected formation energy comes out at -1.812 eV per atom.

The structure belongs to space group I4/mmm (No. 139); the cell edges are 5.7839, 5.7839 and 11.6131 Å and the angles 90.00°, 90.00° and 90.00°. The asymmetric unit holds Ca at (0.0000, 0.0000, 0.0000), Dy at (0.0000, 0.0000, 0.5000), Dy at (0.0000, 0.5000, 0.2500), Se at (0.0000, 0.0000, 0.2487) and Se at (0.0000, 0.5000, 0.0000).

=====

No. 2
KRb3Tl2H6: optimized geometry, PBE-GGA.

As for the crystal system: trigonal. For the total energy, the calculation gives -2.512 eV per atom.

The structure belongs to space group P-3m1 (No. 164); the cell edges are 6.4054, 6.4054 and 7.8193 Å and the angles 90.00°, 90.00° and 120.00°. The asymmetric unit holds K at (0.0000, 0.0000, 0.0000), Rb at (0.0000, 0.0000, 0.5000), Rb at (0.3333, 0.6667, 0.1551), Tl at (0.3333, 0.6667, 0.6396) and H at (0.1866, 0.3733, 0.7989).

=====

No. 3
NpHgTe2: optimized geometry, PBE-GGA.

For the distance to the lowest polymorph of the same formula, the calculation gives 0.015 eV/atom. As for the crystal system: trigonal. The uncorrected formation energy comes out at -0.381 eV per atom.

The structure belongs to space group R-3m (No. 166, hexagonal axes); the cell edges are 4.3071, 4.3071 and 28.5915 Å and the angles 90.00°, 90.00° and 120.00°. The asymmetric unit holds Np at (0.0000, 0.0000, 0.0000), Hg at (0.0000, 0.0000, 0.5000) and Te at (0.0000, 0.0000, 0.2719).

=====

| no. | magnetization (Bohr magnetons per cell) |
| --- | --- |
| 1 | 0.00 |
| 2 | 0.00 |
| 3 | 8.98 |